A plane-wave DFT calculation with GGA-PBE was carried out for a relaxed PmPrThTl crystal.

Unit cell a=5.6090 b=5.6090 c=5.6090 alpha=60.00 beta=60.00 gamma=60.00
Fractional coordinates of all 4 atoms:
Pr1 0.7500 0.7500 0.7500
Pm1 0.5000 0.5000 0.5000
Tl1 0.0000 0.0000 0.0000
Th1 0.2500 0.2500 0.2500

Values from the calculation:
- D(E_F) (states/eV/cell) = 7.1
- total magnetic moment (μB per atom) = 0.000
- energy (eV per atom) = -4.801
- mass density (g/cm³) = 9.6

A plane-wave DFT calculation with GGA-PBE was carried out for a relaxed PmPr2Tm5Th crystal.

Unit cell a=8.6751 b=8.6751 c=9.8562 alpha=116.11 beta=116.11 gamma=90.00
Fractional coordinates of all 18 atoms:
Pr1 0.1169 0.3831 0.0000
Tm1 0.4268 0.3534 0.2802
Tm2 0.0732 0.5732 0.7198
Th1 0.2500 0.2500 0.5000
Tm3 0.5000 0.5000 0.0000
Tm4 0.6466 0.1466 0.7198
Pm1 0.7500 0.2500 0.5000
Tm5 0.8534 0.9268 0.2802
Tm6 0.9268 0.4268 0.2802
Th2 0.7500 0.7500 0.5000
Tm7 0.5732 0.6466 0.7198
Tm8 0.0000 0.0000 0.0000
Pr2 0.8831 0.6169 0.0000
Tm9 0.1466 0.0732 0.7198
Pr3 0.6169 0.1169 0.0000
Tm10 0.3534 0.8534 0.2802
Pr4 0.3831 0.8831 0.0000
Pm2 0.2500 0.7500 0.5000

Values from the calculation:
- D(E_F) (states/eV/cell) = 22.1
- total magnetic moment (μB per atom) = 0.000
- energy (eV per atom) = -4.613
- mass density (g/cm³) = 8.6